This record from Alexandria via LeMat-Bulk describes a relaxed NaAcGe4 crystal. The functional is PBE.

Polymorph energy (0 for the lowest one) ... 33 meV per atom
Magnetic moment ... 0.00 μB per formula unit
Total DFT energy (no corrections) ... -25.504 eV per cell
Formation energy ... -0.2678 eV/atom
DOS(E_F) ... 0.447 states/eV/atom

```
data_NaAcGe4
_chemical_formula_sum 'Na1 Ac1 Ge4'
_cell_length_a 4.129
_cell_length_b 4.519
_cell_length_c 8.267
_cell_angle_alpha 90.00
_cell_angle_beta 90.00
_cell_angle_gamma 90.00
_space_group_name_H-M_alt 'P m m m'
_space_group_IT_number 47
loop_
_space_group_symop_operation_xyz
'x,y,z'
'-x,-y,-z'
'-x,-y,z'
'x,y,-z'
'x,-y,-z'
'-x,y,z'
'-x,y,-z'
'x,-y,z'
loop_
_atom_site_label
_atom_site_type_symbol
_atom_site_fract_x
_atom_site_fract_y
_atom_site_fract_z
Na1 Na 0.000 0.000 0.000
Ac1 Ac 0.500 0.000 0.500
Ge1 Ge 0.000 0.500 0.334
Ge2 Ge 0.500 0.500 0.157
```